No. 1
# RbAgSn3, optimized geometry, DFT PBE
data_RbAgSn3
_chemical_formula_sum 'Rb1 Ag1 Sn3'
_space_group_name_H-M_alt 'P 1'
_space_group_IT_number 1
_cell_length_a 4.942
_cell_length_b 4.939
_cell_length_c 7.110
_cell_angle_alpha 69.62
_cell_angle_beta 69.63
_cell_angle_gamma 90.02
loop_
_space_group_symop_operation_xyz
'x,y,z'
loop_
_atom_site_label
_atom_site_type_symbol
_atom_site_fract_x
_atom_site_fract_y
_atom_site_fract_z
Rb1 Rb 0.402 0.205 0.902
Ag1 Ag 0.023 0.826 0.660
Sn1 Sn 0.645 0.948 0.415
Sn2 Sn 0.145 0.449 0.415
Sn3 Sn 0.793 0.597 0.119
# Uncorrected energy: -3.33 eV/atom
# Calculated formation energy: -3.8 kcal/mol of atoms
# DOS at the Fermi energy: 1.4 states/eV per cell
# SG: Cm, No. 8

No. 2
# RbAgSn, optimized geometry, DFT PBE
data_RbAgSn
_chemical_formula_sum 'Rb1 Ag1 Sn1'
_space_group_name_H-M_alt 'P 1'
_space_group_IT_number 1
_cell_length_a 3.856
_cell_length_b 3.856
_cell_length_c 7.145
_cell_angle_alpha 105.65
_cell_angle_beta 105.65
_cell_angle_gamma 90.00
loop_
_space_group_symop_operation_xyz
'x,y,z'
loop_
_atom_site_label
_atom_site_type_symbol
_atom_site_fract_x
_atom_site_fract_y
_atom_site_fract_z
Rb1 Rb 0.000 0.000 0.001
Sn1 Sn 0.713 0.713 0.426
Ag1 Ag 0.287 0.287 0.573
# Uncorrected energy: -2.63 eV/atom
# Calculated formation energy: -0.6 kcal/mol of atoms
# DOS at the Fermi energy: 0.6 states/eV per cell
# SG: I4mm, No. 107

calculated formation energy of number 1 (RbAgSn3)?
-3.8 kcal/mol of atoms

The lowest calculated formation energy belongs to which entry?
RbAgSn3

uncorrected energy of number 1 (RbAgSn3)?
-3.33 eV/atom

Look up the DOS at the Fermi energy of the first one.
1.4 states/eV per cell